VASP calculation (GGA-PBE) on an optimized crystal structure of MnRuS2Cl.

```
data_MnRuS2Cl
_space_group_name_H-M_alt 'P 4/m m m'
_space_group_IT_number 123
_space_group_name_Hall '-P 4 2'
_cell_length_a 4.377
_cell_length_b 4.377
_cell_length_c 4.713
_cell_angle_alpha 90.00
_cell_angle_beta 90.00
_cell_angle_gamma 90.00
loop_
_atom_site_label
_atom_site_type_symbol
_atom_site_fract_x
_atom_site_fract_y
_atom_site_fract_z
_atom_site_occupancy
Mn1 Mn 0.000 0.000 0.000 1
Ru1 Ru 0.500 0.500 0.500 1
S1 S 0.000 0.500 0.000 1
Cl1 Cl 0.000 0.000 0.500 1
```

Computed properties:
energy = -4.981 eV/atom
distance to the lowest polymorph of the same formula = 0 meV per atom
ΔE_f (raw) = 0.728 eV per atom
theoretical density = 4.7 g/cm³